1.
This record from the Alexandria database describes a relaxed structure of Tc2Os3. The functional is PBE.

Cell lengths 11.318, 11.318, 11.318 Å; angles 13.84, 13.84, 13.84 degrees
Element x y z (fractional)
Tc: 0.599 0.599 0.599
Tc: 0.401 0.401 0.401
Os: 0.201 0.201 0.201
Os: 0.799 0.799 0.799
Os: 0.000 0.000 0.000

Values from the calculation:
- calculated formation energy (eV/atom) = 0.07
- offset from the most stable computed form (meV/atom) = 0.0
- final energy (eV per atom) = -10.81

***

2.
This record from the Alexandria database describes a relaxed structure of Tc3Os. The functional is PBE.

Cell lengths 5.508, 5.508, 8.814 Å; angles 90.00, 90.00, 60.00 degrees
Element x y z (fractional)
Os: 0.667 0.667 0.250
Os: 0.000 0.000 0.500
Os: 0.000 0.000 0.000
Os: 0.333 0.333 0.750
Tc: 0.833 0.334 0.750
Tc: 0.500 0.500 0.000
Tc: 0.500 0.000 0.000
Tc: 0.000 0.500 0.000
Tc: 0.666 0.167 0.250
Tc: 0.833 0.833 0.750
Tc: 0.167 0.666 0.250
Tc: 0.334 0.833 0.750
Tc: 0.167 0.167 0.250
Tc: 0.000 0.500 0.500
Tc: 0.500 0.000 0.500
Tc: 0.500 0.500 0.500

Values from the calculation:
- calculated formation energy (eV/atom) = -0.03
- offset from the most stable computed form (meV/atom) = 27.1
- final energy (eV per atom) = -10.61

***

3.
This record from the Alexandria database describes a relaxed structure of TcOs5. The functional is PBE.

Cell lengths 2.753, 5.151, 6.464 Å; angles 76.90, 90.00, 105.50 degrees
Element x y z (fractional)
Os: 0.333 0.667 0.333
Os: 0.056 0.111 0.388
Os: 0.389 0.779 0.722
Os: 0.667 0.334 0.667
Os: 0.999 0.998 0.001
Tc: 0.722 0.444 0.055

Values from the calculation:
- calculated formation energy (eV/atom) = -0.04
- offset from the most stable computed form (meV/atom) = 10.0
- final energy (eV per atom) = -11.13

***

4.
This record from the Alexandria database describes a relaxed structure of Tc4Os3. The functional is PBE.

Cell lengths 10.192, 10.192, 10.192 Å; angles 161.79, 161.79, 25.87 degrees
Element x y z (fractional)
Os: 0.286 0.286 0.000
Os: 0.000 0.000 0.000
Os: 0.714 0.714 0.000
Tc: 0.572 0.572 0.000
Tc: 0.857 0.857 0.000
Tc: 0.428 0.428 0.000
Tc: 0.143 0.143 0.000

Values from the calculation:
- calculated formation energy (eV/atom) = 0.46
- offset from the most stable computed form (meV/atom) = 211.5
- final energy (eV per atom) = -10.27

***

5.
This record from the Alexandria database describes a relaxed structure of TcOs5. The functional is PBE.

Cell lengths 2.728, 2.728, 11.598 Å; angles 90.00, 90.00, 90.00 degrees
Element x y z (fractional)
Os: 0.500 0.500 0.334
Os: 0.000 0.000 0.168
Os: 0.000 0.000 0.500
Os: 0.500 0.500 0.666
Os: 0.000 0.000 0.832
Tc: 0.500 0.500 0.000

Values from the calculation:
- calculated formation energy (eV/atom) = 0.11
- offset from the most stable computed form (meV/atom) = 161.0
- final energy (eV per atom) = -10.98

***

6.
This record from the Alexandria database describes a relaxed structure of TcOs5. The functional is PBE.

Cell lengths 5.071, 5.071, 5.071 Å; angles 60.00, 60.00, 60.00 degrees
Element x y z (fractional)
Os: 0.250 0.250 0.250
Os: 0.625 0.125 0.625
Os: 0.125 0.625 0.625
Os: 0.625 0.625 0.125
Os: 0.625 0.625 0.625
Tc: 0.000 0.000 0.000

Values from the calculation:
- calculated formation energy (eV/atom) = 0.77
- offset from the most stable computed form (meV/atom) = 821.2
- final energy (eV per atom) = -10.32

***

- final energy of number 4 (Tc4Os3)?
  -10.27 eV per atom

***

- Among the records above, which one has the lowest final energy?
  number 3